Ba2CeBeSe5 | PBE | relaxed

Cell lengths 9.4638, 9.4638, 13.5628 Å; angles 90.00, 90.00, 153.86 degrees
Atoms (fractional coordinates):
1 Ba 0.1187 0.8813 0.5000
2 Ba 0.1187 0.8813 0.8528
3 Ba 0.8813 0.1187 0.0000
4 Ba 0.8813 0.1187 0.3528
5 Ce 0.1915 0.8085 0.1866
6 Ce 0.8085 0.1915 0.6866
7 Be 0.4367 0.5633 0.5744
8 Be 0.5633 0.4367 0.0744
9 Se 0.0399 0.9601 0.1600
10 Se 0.3047 0.6953 0.8284
11 Se 0.3142 0.6858 0.5396
12 Se 0.3431 0.6569 0.1766
13 Se 0.4972 0.5028 0.4362
14 Se 0.5028 0.4972 0.9362
15 Se 0.6569 0.3431 0.6766
16 Se 0.6858 0.3142 0.0396
17 Se 0.6953 0.3047 0.3284
18 Se 0.9601 0.0399 0.6600

energy: -90.8 eV/cell
ΔE_f (raw): -1.61 eV per atom
volume: 267.55 Å³/f.u.
symmetry: Cmc2_1 (36)
total moment: 0.0 μB per formula unit



Ce2Al3Ga6 | PBE | relaxed

Cell lengths 7.8478, 7.8478, 3.9821 Å; angles 90.00, 90.00, 110.22 degrees
Atoms (fractional coordinates):
1 Ce 0.2101 0.2101 0.0000
2 Ce 0.7899 0.7899 0.0000
3 Al 0.3245 0.6755 0.0000
4 Al 0.5000 0.5000 0.5000
5 Al 0.6755 0.3245 0.0000
6 Ga 0.1493 0.4741 0.5000
7 Ga 0.1531 0.8469 0.5000
8 Ga 0.4741 0.1493 0.5000
9 Ga 0.5259 0.8507 0.5000
10 Ga 0.8469 0.1531 0.5000
11 Ga 0.8507 0.5259 0.5000

energy: -43.5 eV/cell
volume: 230.13 Å³/f.u.
energy relative to the elements: -0.21 eV/atom
symmetry: Cmmm (65)
total moment: 1.2 μB per formula unit



Np3Tl3ZnTe8 | PBE | relaxed

Cell lengths 9.6802, 9.6802, 9.6802 Å; angles 53.74, 53.74, 53.74 degrees
Atoms (fractional coordinates):
1 Np 0.0000 0.5000 0.5000
2 Np 0.5000 0.0000 0.5000
3 Np 0.5000 0.5000 0.0000
4 Tl 0.0000 0.0000 0.5000
5 Tl 0.0000 0.5000 0.0000
6 Tl 0.5000 0.0000 0.0000
7 Zn 0.0000 0.0000 0.0000
8 Te 0.2295 0.2295 0.7440
9 Te 0.2295 0.7440 0.2295
10 Te 0.2560 0.7705 0.7705
11 Te 0.2615 0.2615 0.2615
12 Te 0.7385 0.7385 0.7385
13 Te 0.7440 0.2295 0.2295
14 Te 0.7705 0.2560 0.7705
15 Te 0.7705 0.7705 0.2560

energy: -79.1 eV/cell
ΔE_f (raw): -0.45 eV per atom
volume: 547.52 Å³/f.u.
symmetry: R-3m (166)
total moment: 10.0 μB per formula unit



MnMo2Os | PBE | relaxed

Cell lengths 4.7728, 4.7728, 4.7728 Å; angles 132.15, 132.15, 70.00 degrees
Atoms (fractional coordinates):
1 Mn 0.0000 0.0000 0.0000
2 Mo 0.2500 0.7500 0.5000
3 Mo 0.7500 0.2500 0.5000
4 Os 0.5000 0.5000 0.0000

energy: -41.6 eV/cell
volume: 58.60 Å³/f.u.
energy relative to the elements: 0.12 eV/atom
energy relative to the lowest polymorph listed for this composition: 30 meV/atom
symmetry: I4/mmm (139)
total moment: 2.3 μB per formula unit



Ce12SiIr6 | PBE | relaxed

Cell lengths 8.1629, 8.1629, 8.1629 Å; angles 97.58, 97.58, 97.58 degrees
Atoms (fractional coordinates):
1 Ce 0.0409 0.6549 0.9410
2 Ce 0.0590 0.9591 0.3451
3 Ce 0.1832 0.4173 0.5802
4 Ce 0.3451 0.0590 0.9591
5 Ce 0.4173 0.5802 0.1832
6 Ce 0.4198 0.8168 0.5827
7 Ce 0.5802 0.1832 0.4173
8 Ce 0.5827 0.4198 0.8168
9 Ce 0.6549 0.9410 0.0409
10 Ce 0.8168 0.5827 0.4198
11 Ce 0.9410 0.0409 0.6549
12 Ce 0.9591 0.3451 0.0590
13 Si 0.0000 0.0000 0.0000
14 Ir 0.1318 0.6259 0.3211
15 Ir 0.3211 0.1318 0.6259
16 Ir 0.3741 0.6789 0.8682
17 Ir 0.6259 0.3211 0.1318
18 Ir 0.6789 0.8682 0.3741
19 Ir 0.8682 0.3741 0.6789

energy: -138.2 eV/cell
ΔE_f (raw): -0.44 eV per atom
volume: 528.27 Å³/f.u.
symmetry: R-3 (148)
total moment: 9.0 μB per formula unit



Ho2Cd3Co2 | PBE | relaxed

Cell lengths 10.3224, 10.3224, 3.8007 Å; angles 90.00, 90.00, 158.85 degrees
Atoms (fractional coordinates):
1 Ho 0.1737 0.8263 0.0000
2 Ho 0.8263 0.1737 0.0000
3 Cd 0.0000 0.0000 0.0000
4 Cd 0.4202 0.5798 0.5000
5 Cd 0.5798 0.4202 0.5000
6 Co 0.2807 0.7193 0.5000
7 Co 0.7193 0.2807 0.5000

energy: -27.8 eV/cell
volume: 146.13 Å³/f.u.
energy relative to the elements: -0.24 eV/atom
symmetry: Cmmm (65)
total moment: 1.0 μB per formula unit



Copy entry 5 word for word.
Ce12SiIr6 | PBE | relaxed

Cell lengths 8.1629, 8.1629, 8.1629 Å; angles 97.58, 97.58, 97.58 degrees
Atoms (fractional coordinates):
1 Ce 0.0409 0.6549 0.9410
2 Ce 0.0590 0.9591 0.3451
3 Ce 0.1832 0.4173 0.5802
4 Ce 0.3451 0.0590 0.9591
5 Ce 0.4173 0.5802 0.1832
6 Ce 0.4198 0.8168 0.5827
7 Ce 0.5802 0.1832 0.4173
8 Ce 0.5827 0.4198 0.8168
9 Ce 0.6549 0.9410 0.0409
10 Ce 0.8168 0.5827 0.4198
11 Ce 0.9410 0.0409 0.6549
12 Ce 0.9591 0.3451 0.0590
13 Si 0.0000 0.0000 0.0000
14 Ir 0.1318 0.6259 0.3211
15 Ir 0.3211 0.1318 0.6259
16 Ir 0.3741 0.6789 0.8682
17 Ir 0.6259 0.3211 0.1318
18 Ir 0.6789 0.8682 0.3741
19 Ir 0.8682 0.3741 0.6789

energy: -138.2 eV/cell
ΔE_f (raw): -0.44 eV per atom
volume: 528.27 Å³/f.u.
symmetry: R-3 (148)
total moment: 9.0 μB per formula unit